Record 1
# LiIn5Au6

LiIn5Au6 after structural relaxation (GGA-PBE, Alexandria).

Summary:
SG: No. 2

Unit cell a=6.3548 b=6.6911 c=7.1132 alpha=68.43 beta=66.54 gamma=89.81
Fractional coordinates of all 12 atoms:
Li (0.0000, 0.0000, 0.0000)
In (0.0028, 0.2844, 0.2772)
In (0.4536, 0.3897, 0.7684)
In (0.5000, 0.0000, 0.5000)
In (0.5464, 0.6103, 0.2316)
In (0.9972, 0.7156, 0.7228)
Au (0.1342, 0.3352, 0.6030)
Au (0.2877, 0.9688, 0.2150)
Au (0.2897, 0.7011, 0.9585)
Au (0.7103, 0.2989, 0.0415)
Au (0.7123, 0.0312, 0.7850)
Au (0.8658, 0.6648, 0.3970)

=====

Record 2
# Li4In3Au4

Li4In3Au4 after structural relaxation (GGA-PBE, Alexandria).

Summary:
SG: No. 71
Polymorph energy (0 for the lowest one) in meV per atom: 43

Unit cell a=8.2421 b=8.2421 c=8.2421 alpha=151.07 beta=128.96 gamma=59.74
Fractional coordinates of all 11 atoms:
Li (0.0241, 0.8289, 0.1952)
Li (0.3663, 0.1711, 0.1952)
Li (0.6337, 0.8289, 0.8048)
Li (0.9759, 0.1711, 0.8048)
In (0.0000, 0.5000, 0.5000)
In (0.3764, 0.3764, 0.0000)
In (0.6236, 0.6236, 0.0000)
Au (0.2243, 0.7243, 0.5000)
Au (0.2992, 0.0000, 0.2992)
Au (0.7008, 0.0000, 0.7008)
Au (0.7757, 0.2757, 0.5000)

=====

Record 3
# Li2InAu6

Li2InAu6 after structural relaxation (GGA-PBE, Alexandria).

Summary:
SG: No. 12
Polymorph energy (0 for the lowest one) in meV per atom: 105

Unit cell a=7.1850 b=7.1850 c=4.0332 alpha=106.20 beta=106.20 gamma=62.57
Fractional coordinates of all 9 atoms:
Li (0.1988, 0.1988, 0.1986)
Li (0.8012, 0.8012, 0.8014)
In (0.5000, 0.5000, 0.5000)
Au (0.0504, 0.6127, 0.3317)
Au (0.2013, 0.7987, 0.0000)
Au (0.3873, 0.9496, 0.6683)
Au (0.6127, 0.0504, 0.3317)
Au (0.7987, 0.2013, 0.0000)
Au (0.9496, 0.3873, 0.6683)

=====

Record 4
# Li2In3Au8

Li2In3Au8 after structural relaxation (GGA-PBE, Alexandria).

Summary:
SG: No. 166

Unit cell a=8.1921 b=8.1921 c=8.1921 alpha=49.41 beta=49.41 gamma=49.41
Fractional coordinates of all 13 atoms:
Li (0.0451, 0.0451, 0.0451)
Li (0.9549, 0.9549, 0.9549)
In (0.2759, 0.2759, 0.2759)
In (0.5000, 0.5000, 0.5000)
In (0.7241, 0.7241, 0.7241)
Au (0.1530, 0.1530, 0.1530)
Au (0.2495, 0.2495, 0.6643)
Au (0.2495, 0.6643, 0.2495)
Au (0.3357, 0.7505, 0.7505)
Au (0.6643, 0.2495, 0.2495)
Au (0.7505, 0.3357, 0.7505)
Au (0.7505, 0.7505, 0.3357)
Au (0.8470, 0.8470, 0.8470)

=====

Record 5
# LiInAu

LiInAu after structural relaxation (GGA-PBE, Alexandria).

Summary:
SG: No. 156

Unit cell a=4.7479 b=4.7479 c=3.0699 alpha=90.00 beta=90.00 gamma=120.00
Fractional coordinates of all 3 atoms:
Li (0.0000, 0.0000, 0.0000)
In (0.3333, 0.6667, 0.4970)
Au (0.6667, 0.3333, 0.4984)

=====

Record 6
# Li2In2Au7

Li2In2Au7 after structural relaxation (GGA-PBE, Alexandria).

Summary:
SG: No. 12

Unit cell a=6.8173 b=6.8173 c=4.8522 alpha=98.69 beta=98.69 gamma=81.32
Fractional coordinates of all 11 atoms:
Li (0.2321, 0.2321, 0.2819)
Li (0.7679, 0.7679, 0.7181)
In (0.2863, 0.7137, 0.5000)
In (0.7137, 0.2863, 0.5000)
Au (0.0621, 0.0621, 0.7834)
Au (0.1063, 0.4646, 0.7669)
Au (0.4646, 0.1063, 0.7669)
Au (0.5000, 0.5000, 0.0000)
Au (0.5354, 0.8937, 0.2331)
Au (0.8937, 0.5354, 0.2331)
Au (0.9379, 0.9379, 0.2166)

=====

no.,energy relative to the elements (eV per atom)
1,-0.225
2,-0.338
3,-0.230
4,0.139
5,-0.349
6,-0.238